(1)
# CsNaBe3

An optimized crystal structure of CsNaBe3 (GGA-PBE, Alexandria via LeMat-Bulk).

The space group is Pm-3m (No. 221) and the conventional cell measures 6.115, 6.115 and 6.115 Å, with angles of 90.00, 90.00 and 90.00 degrees. The asymmetric unit holds Cs at (0.000, 0.000, 0.000), Na at (0.500, 0.500, 0.500) and Be at (0.000, 0.000, 0.500).

As for the formation energy: 2.0389 eV per atom. Its crystal system is cubic.

=====

(2)
# Cs2NaBeP2

An optimized crystal structure of Cs2NaBeP2 (GGA-PBE, Alexandria via LeMat-Bulk).

The space group is Ibam (No. 72) and the conventional cell measures 6.638, 16.442 and 6.706 Å, with angles of 90.00, 90.00 and 90.00 degrees. The asymmetric unit holds Cs at (0.246, 0.162, 0.000), Na at (0.000, 0.000, 0.250), Be at (0.000, 0.500, 0.250) and P at (0.169, 0.442, 0.000).

As for the formation energy: -0.2386 eV per atom. Its crystal system is orthorhombic.

=====

(3)
# CsNaBe2Se

An optimized crystal structure of CsNaBe2Se (GGA-PBE, Alexandria via LeMat-Bulk).

The space group is P4/mmm (No. 123) and the conventional cell measures 5.483, 5.483 and 5.465 Å, with angles of 90.00, 90.00 and 90.00 degrees. The asymmetric unit holds Cs at (0.000, 0.000, 0.000), Na at (0.500, 0.500, 0.500), Be at (0.000, 0.500, 0.500) and Se at (0.500, 0.500, 0.000).

The value obtained for the uncorrected formation energy is 0.79 eV per atom. Its crystal system is tetragonal.

=====

Values for energy, eV/atom, ordered as above
-0.6313 -3.1673 -1.8360